# 1
# Ba2CrSF

Ba2CrSF after structural relaxation (GGA-PBEsol, Alexandria).

a b c (Å): 6.0128 6.0128 4.6099
angles (deg): 90.00 90.00 90.00
Space group P4/mmm (No. 123)
Asymmetric unit:
Ba 0.0000 0.5000 0.0000
Cr 0.0000 0.0000 0.5000
S 0.5000 0.5000 0.0000
F 0.5000 0.5000 0.5000

Results
VASP energy, eV/atom: -4.587

---

# 2
# Ba2YCr2F11

Ba2YCr2F11 after structural relaxation (GGA-PBEsol, Alexandria).

a b c (Å): 7.7993 7.7993 13.4196
angles (deg): 90.00 90.00 120.00
Space group P3_2 (No. 145)
Asymmetric unit:
Ba 0.0342 0.1529 0.0000
Ba 0.2102 0.5213 0.5304
Y 0.5429 0.2308 0.1051
Cr 0.0449 0.7153 0.1025
Cr 0.3960 0.0670 0.6091
F 0.0368 0.4103 0.8578
F 0.0622 0.6123 0.2382
F 0.0920 0.0672 0.8195
F 0.1836 0.8118 0.6557
F 0.1865 0.5884 0.0503
F 0.2427 0.2035 0.6356
F 0.3156 0.3067 0.1390
F 0.3270 0.0411 0.9985
F 0.3946 0.2079 0.4506
F 0.4510 0.1489 0.7786
F 0.6505 0.3349 0.6089

Results
VASP energy, eV/atom: -6.569

---

# 3
# BaZnCrF7

BaZnCrF7 after structural relaxation (GGA-PBEsol, Alexandria).

a b c (Å): 5.5383 9.8431 9.5133
angles (deg): 90.00 92.99 90.00
Space group P2_1/c (No. 14)
Asymmetric unit:
Ba 0.2413 0.1812 0.0008
Zn 0.1949 0.6009 0.8114
Cr 0.3053 0.6136 0.1874
F 0.0224 0.7054 0.2489
F 0.1134 0.5436 0.6227
F 0.1411 0.0490 0.6289
F 0.2377 0.6927 0.0029
F 0.3887 0.5423 0.3652
F 0.3927 0.0564 0.3791
F 0.4769 0.7237 0.7471

Results
VASP energy, eV/atom: -5.685

---

# 4
# BaCrFe3

BaCrFe3 after structural relaxation (GGA-PBEsol, Alexandria).

a b c (Å): 4.4589 4.4589 4.4589
angles (deg): 90.00 90.00 90.00
Space group Pm-3m (No. 221)
Asymmetric unit:
Ba 0.0000 0.0000 0.0000
Cr 0.5000 0.5000 0.5000
Fe 0.0000 0.5000 0.5000

Results
Energy of formation, eV/atom: 1.064

---

# 5
# BaCrFe2Ir

BaCrFe2Ir after structural relaxation (GGA-PBEsol, Alexandria).

a b c (Å): 4.7336 4.7336 5.7411
angles (deg): 90.00 90.00 90.00
Space group P4/mmm (No. 123)
Asymmetric unit:
Ba 0.0000 0.0000 0.0000
Cr 0.5000 0.5000 0.0000
Fe 0.0000 0.5000 0.5000
Ir 0.0000 0.0000 0.5000

Results
Energy of formation, eV/atom: 1.478

---

# 6
# BaCr3Ga

BaCr3Ga after structural relaxation (GGA-PBEsol, Alexandria).

a b c (Å): 4.9124 4.9124 4.9124
angles (deg): 90.00 90.00 90.00
Space group Pm-3m (No. 221)
Asymmetric unit:
Ba 0.0000 0.0000 0.0000
Cr 0.0000 0.5000 0.5000
Ga 0.5000 0.5000 0.5000

Results
Energy of formation, eV/atom: 1.065

---

# 7
# BaCrGe2Pd

BaCrGe2Pd after structural relaxation (GGA-PBEsol, Alexandria).

a b c (Å): 5.6560 5.6560 5.1540
angles (deg): 90.00 90.00 90.00
Space group P4/mmm (No. 123)
Asymmetric unit:
Ba 0.0000 0.0000 0.0000
Cr 0.5000 0.5000 0.5000
Ge 0.0000 0.5000 0.0000
Pd 0.0000 0.0000 0.5000

Results
Energy of formation, eV/atom: 1.725

---

# 8
# BaCr2GeTe

BaCr2GeTe after structural relaxation (GGA-PBEsol, Alexandria).

a b c (Å): 5.3003 5.3003 5.5743
angles (deg): 90.00 90.00 90.00
Space group P4/mmm (No. 123)
Asymmetric unit:
Ba 0.0000 0.0000 0.0000
Cr 0.0000 0.5000 0.0000
Ge 0.0000 0.0000 0.5000
Te 0.5000 0.5000 0.5000

Results
VASP energy, eV/atom: -4.244

---

# 9
# BaTl2CrGe

BaTl2CrGe after structural relaxation (GGA-PBEsol, Alexandria).

a b c (Å): 5.5720 5.5720 4.8372
angles (deg): 90.00 90.00 90.00
Space group P4/mmm (No. 123)
Asymmetric unit:
Ba 0.0000 0.0000 0.0000
Tl 0.0000 0.5000 0.5000
Cr 0.5000 0.5000 0.0000
Ge 0.5000 0.5000 0.5000

Results
Energy of formation, eV/atom: 0.294

---

# 10
# KBa2CrH

KBa2CrH after structural relaxation (GGA-PBEsol, Alexandria).

a b c (Å): 6.5758 6.5758 4.2088
angles (deg): 90.00 90.00 90.00
Space group P4/mmm (No. 123)
Asymmetric unit:
K 0.0000 0.0000 0.0000
Ba 0.0000 0.5000 0.0000
Cr 0.5000 0.5000 0.5000
H 0.0000 0.0000 0.5000

Results
VASP energy, eV/atom: -2.858

---

# 11
# BaHfCr3

BaHfCr3 after structural relaxation (GGA-PBEsol, Alexandria).

a b c (Å): 4.9832 4.9832 4.9832
angles (deg): 90.00 90.00 90.00
Space group Pm-3m (No. 221)
Asymmetric unit:
Ba 0.0000 0.0000 0.0000
Hf 0.5000 0.5000 0.5000
Cr 0.0000 0.5000 0.5000

Results
Energy of formation, eV/atom: 1.439

---

# 12
# BaHfMgCr2

BaHfMgCr2 after structural relaxation (GGA-PBEsol, Alexandria).

a b c (Å): 4.8633 4.8633 5.2685
angles (deg): 90.00 90.00 90.00
Space group P4/mmm (No. 123)
Asymmetric unit:
Ba 0.0000 0.0000 0.0000
Hf 0.5000 0.5000 0.5000
Mg 0.0000 0.0000 0.5000
Cr 0.0000 0.5000 0.0000

Results
Energy of formation, eV/atom: 2.197

---

# 13
# BaCrHg2N

BaCrHg2N after structural relaxation (GGA-PBEsol, Alexandria).

a b c (Å): 6.3298 6.3298 4.4005
angles (deg): 90.00 90.00 90.00
Space group P4/mmm (No. 123)
Asymmetric unit:
Ba 0.0000 0.0000 0.0000
Cr 0.5000 0.5000 0.5000
Hg 0.0000 0.5000 0.0000
N 0.0000 0.0000 0.5000

Results
VASP energy, eV/atom: -3.150

---

# 14
# BaSrCr2Hg

BaSrCr2Hg after structural relaxation (GGA-PBEsol, Alexandria).

a b c (Å): 5.5567 5.5567 6.3641
angles (deg): 90.00 90.00 90.00
Space group P4/mmm (No. 123)
Asymmetric unit:
Ba 0.0000 0.0000 0.0000
Sr 0.0000 0.0000 0.5000
Cr 0.0000 0.5000 0.5000
Hg 0.5000 0.5000 0.0000

Results
Energy of formation, eV/atom: 1.691

---

# 15
# BaCrI3

BaCrI3 after structural relaxation (GGA-PBEsol, Alexandria).

a b c (Å): 6.5614 6.5614 6.5614
angles (deg): 90.00 90.00 90.00
Space group Pm-3m (No. 221)
Asymmetric unit:
Ba 0.0000 0.0000 0.0000
Cr 0.5000 0.5000 0.5000
I 0.0000 0.0000 0.5000

Results
VASP energy, eV/atom: -3.716

---

# 16
# BaCrIn2I

BaCrIn2I after structural relaxation (GGA-PBEsol, Alexandria).

a b c (Å): 6.4986 6.4986 6.3277
angles (deg): 90.00 90.00 90.00
Space group P4/mmm (No. 123)
Asymmetric unit:
Ba 0.0000 0.0000 0.0000
Cr 0.5000 0.5000 0.5000
In 0.0000 0.5000 0.0000
I 0.0000 0.0000 0.5000

Results
VASP energy, eV/atom: -3.050

---

# 17
# BaCrIN2

BaCrIN2 after structural relaxation (GGA-PBEsol, Alexandria).

a b c (Å): 4.2517 4.2517 5.2112
angles (deg): 90.00 90.00 90.00
Space group P4/mmm (No. 123)
Asymmetric unit:
Ba 0.0000 0.0000 0.0000
Cr 0.5000 0.5000 0.5000
I 0.5000 0.5000 0.0000
N 0.0000 0.5000 0.5000

Results
VASP energy, eV/atom: -5.956

---

# 18
# Ba2CrPbI

Ba2CrPbI after structural relaxation (GGA-PBEsol, Alexandria).

a b c (Å): 6.4138 6.4138 5.8897
angles (deg): 90.00 90.00 90.00
Space group P4/mmm (No. 123)
Asymmetric unit:
Ba 0.0000 0.5000 0.0000
Cr 0.0000 0.0000 0.5000
Pb 0.5000 0.5000 0.5000
I 0.5000 0.5000 0.0000

Results
VASP energy, eV/atom: -3.623

---

# 19
# BaCrS2I

BaCrS2I after structural relaxation (GGA-PBEsol, Alexandria).

a b c (Å): 4.7959 4.7959 5.3615
angles (deg): 90.00 90.00 90.00
Space group P4/mmm (No. 123)
Asymmetric unit:
Ba 0.0000 0.0000 0.0000
Cr 0.5000 0.5000 0.5000
S 0.0000 0.5000 0.5000
I 0.5000 0.5000 0.0000

Results
VASP energy, eV/atom: -5.532

---

# 20
# Ba2CrIn

Ba2CrIn after structural relaxation (GGA-PBEsol, Alexandria).

a b c (Å): 4.1037 4.1037 31.0028
angles (deg): 90.00 90.00 120.00
Space group R-3m (No. 166, hexagonal axes)
Asymmetric unit:
Ba 0.0000 0.0000 0.2477
Cr 0.0000 0.0000 0.5000
In 0.0000 0.0000 0.0000

Results
Energy of formation, eV/atom: 0.541

---

# 21
# BaCr3In

BaCr3In after structural relaxation (GGA-PBEsol, Alexandria).

a b c (Å): 5.0816 5.0816 5.0816
angles (deg): 90.00 90.00 90.00
Space group Pm-3m (No. 221)
Asymmetric unit:
Ba 0.0000 0.0000 0.0000
Cr 0.0000 0.0000 0.5000
In 0.5000 0.5000 0.5000

Results
Energy of formation, eV/atom: 2.331

---

# 22
# Ba2CrIr

Ba2CrIr after structural relaxation (GGA-PBEsol, Alexandria).

a b c (Å): 4.3748 4.3748 25.5637
angles (deg): 90.00 90.00 120.00
Space group R-3m (No. 166, hexagonal axes)
Asymmetric unit:
Ba 0.0000 0.0000 0.2321
Cr 0.0000 0.0000 0.0000
Ir 0.0000 0.0000 0.5000

Results
Energy of formation, eV/atom: 0.796

---

# 23
# BaCrIr2

BaCrIr2 after structural relaxation (GGA-PBEsol, Alexandria).

a b c (Å): 4.2698 4.2698 4.1332
angles (deg): 90.00 90.00 90.00
Space group P4/mmm (No. 123)
Asymmetric unit:
Ba 0.0000 0.0000 0.0000
Cr 0.5000 0.5000 0.0000
Ir 0.0000 0.5000 0.5000

Results
Energy relative to the lowest polymorph listed for this composition, eV per formula unit: 0.00
Energy of formation, eV/atom: 0.927

---

# 24
# BaCrIr2

BaCrIr2 after structural relaxation (GGA-PBEsol, Alexandria).

a b c (Å): 4.3300 4.3300 7.9473
angles (deg): 90.00 90.00 90.00
Space group I-4m2 (No. 119)
Asymmetric unit:
Ba 0.0000 0.0000 0.0000
Cr 0.0000 0.5000 0.2500
Ir 0.0000 0.0000 0.5000
Ir 0.0000 0.5000 0.7500

Results
Energy relative to the lowest polymorph listed for this composition, eV per formula unit: 0.25
Energy of formation, eV/atom: 0.990

---

# 25
# BaLa2CrIr

BaLa2CrIr after structural relaxation (GGA-PBEsol, Alexandria).

a b c (Å): 5.4781 5.4781 6.1351
angles (deg): 90.00 90.00 90.00
Space group P4/mmm (No. 123)
Asymmetric unit:
Ba 0.0000 0.0000 0.0000
La 0.0000 0.5000 0.5000
Cr 0.5000 0.5000 0.0000
Ir 0.0000 0.0000 0.5000

Results
Energy of formation, eV/atom: 0.319

---

| no. | size of the total moment (μB per formula unit) |
| --- | --- |
| 1 | 5.61 |
| 2 | 8.00 |
| 3 | 3.00 |
| 4 | 4.80 |
| 5 | 11.99 |
| 6 | 12.08 |
| 7 | 4.50 |
| 8 | 8.57 |
| 9 | 4.20 |
| 10 | 4.76 |
| 11 | 9.89 |
| 12 | 5.84 |
| 13 | 5.59 |
| 14 | 9.46 |
| 15 | 5.00 |
| 16 | 5.39 |
| 17 | 0.99 |
| 18 | 5.06 |
| 19 | 3.12 |
| 20 | 4.77 |
| 21 | 11.28 |
| 22 | 5.20 |
| 23 | 3.71 |
| 24 | 2.71 |
| 25 | 4.73 |